The following is a PBE calculation of crystalline Na2DyPu3Se6 at its relaxed geometry, from Alexandria.

E_form (uncorrected) ... -1.531 eV/atom
Spin magnetization ... 17.0 Bohr magnetons per cell
Calculated volume ... 25.7 A^3/atom
DOS(E_F) ... 2.2471 states/eV/atom

a = 7.2484 Å, b = 7.2484 Å, c = 7.2007 Å
α = 99.63°, β = 99.63°, γ = 119.93°
Last column: magnetic moment on the atom in μB.
Element x y z (fractional)
Na  0.3344  0.6656  0.0000  0.00
Na  0.6656  0.3344  0.0000  0.00
Dy  0.0000  0.0000  0.0000  0.17
Pu  0.1698  0.8302  0.5000  5.41
Pu  0.8302  0.1698  0.5000  5.41
Pu  0.5000  0.5000  0.5000  5.41
Se  0.9161  0.5918  0.7482  -0.07
Se  0.7612  0.7612  0.2538  -0.07
Se  0.0839  0.4082  0.2518  -0.07
Se  0.5918  0.9161  0.7482  -0.07
Se  0.2388  0.2388  0.7462  -0.07
Se  0.4082  0.0839  0.2518  -0.07